{"formula": "Ag2Au", "functional": "PBEsol", "state": "relaxed", "e_form_mev_per_atom": -49, "relative_energy_ev_per_fu": 0.000, "final_energy_ev_per_cell": -42.8, "dos_at_fermi_per_ev_atom": 0.248, "sg": "No. 62", "magmom_total_mub_per_cell": 0.00, "cell": [[5.7579, 0.0000, 0.0000], [0.0000, 4.0090, 0.0000], [0.0000, 0.0000, 8.6441]], "species": ["Ag", "Ag", "Ag", "Ag", "Ag", "Ag", "Ag", "Ag", "Au", "Au", "Au", "Au"], "frac_coords": [[0.1248, 0.2500, 0.0835], [0.1256, 0.2500, 0.7506], [0.3744, 0.7500, 0.2506], [0.3752, 0.7500, 0.5835], [0.6248, 0.2500, 0.4165], [0.6256, 0.2500, 0.7494], [0.8744, 0.7500, 0.2494], [0.8752, 0.7500, 0.9165], [0.1253, 0.2500, 0.4162], [0.3747, 0.7500, 0.9162], [0.6253, 0.2500, 0.0838], [0.8747, 0.7500, 0.5838]]}

---

{"formula": "FeSi2Cl", "functional": "PBEsol", "state": "relaxed", "relative_energy_ev_per_fu": 0.000, "final_energy_ev_per_cell": -22.0, "dos_at_fermi_per_ev_atom": 0.565, "sg": "No. 99", "raw_formation_energy_ev_per_atom": 0.109, "magmom_total_mub_per_cell": 1.45, "cell": [[2.9706, 0.0000, 0.0000], [0.0000, 2.9706, 0.0000], [0.0000, 0.0000, 6.8842]], "species": ["Fe", "Si", "Si", "Cl"], "frac_coords": [[0.0000, 0.0000, 0.0000], [0.0000, 0.0000, 0.3711], [0.5000, 0.5000, 0.1602], [0.5000, 0.5000, 0.7676]]}

---

{"formula": "LaYCr2W", "functional": "PBEsol", "state": "relaxed", "e_form_mev_per_atom": 2360, "final_energy_ev_per_cell": -34.7, "dos_at_fermi_per_ev_atom": 1.522, "sg": "No. 123", "magmom_total_mub_per_cell": 3.51, "cell": [[4.6237, 0.0000, 0.0000], [0.0000, 4.6237, 0.0000], [0.0000, 0.0000, 5.2503]], "species": ["La", "Y", "Cr", "Cr", "W"], "frac_coords": [[0.0000, 0.0000, 0.0000], [0.0000, 0.0000, 0.5000], [0.0000, 0.5000, 0.5000], [0.5000, 0.0000, 0.5000], [0.5000, 0.5000, 0.0000]]}

---

{"formula": "LiNiIr2", "functional": "PBEsol", "state": "relaxed", "e_form_mev_per_atom": -41, "relative_energy_ev_per_fu": 0.004, "final_energy_ev_per_cell": -27.9, "dos_at_fermi_per_ev_atom": 0.959, "sg": "No. 8", "magmom_total_mub_per_cell": 0.00, "cell": [[4.3979, -1.3225, 0.0000], [4.3979, 1.3225, 0.0000], [-0.7427, 0.0000, 4.3430]], "species": ["Li", "Ni", "Ir", "Ir"], "frac_coords": [[0.0000, 0.0000, 0.0000], [0.2440, 0.2440, 0.8040], [0.5069, 0.5069, 0.5033], [0.7616, 0.7616, 0.3076]]}

---

{"formula": "CsMgBr3", "functional": "PBEsol", "state": "relaxed", "final_energy_ev_per_cell": -33.1, "dos_at_fermi_per_ev_atom": 0.000, "sg": "No. 194", "raw_formation_energy_ev_per_atom": -1.658, "magmom_total_mub_per_cell": 0.00, "cell": [[7.5561, 0.0000, 0.0000], [-3.7780, 6.5438, 0.0000], [0.0000, 0.0000, 6.4698]], "species": ["Cs", "Cs", "Mg", "Mg", "Br", "Br", "Br", "Br", "Br", "Br"], "frac_coords": [[0.3333, 0.6667, 0.2500], [0.6667, 0.3333, 0.7500], [0.0000, 0.0000, 0.0000], [0.0000, 0.0000, 0.5000], [0.1616, 0.3233, 0.7500], [0.1616, 0.8384, 0.7500], [0.3233, 0.1616, 0.2500], [0.6767, 0.8384, 0.7500], [0.8384, 0.1616, 0.2500], [0.8384, 0.6767, 0.2500]]}

---

{"formula": "Li2P2Os", "functional": "PBEsol", "state": "relaxed", "e_form_mev_per_atom": -567, "final_energy_ev_per_cell": -61.1, "dos_at_fermi_per_ev_atom": 0.277, "sg": "No. 127", "magmom_total_mub_per_cell": 0.00, "cell": [[5.9289, 0.0000, 0.0000], [0.0000, 5.9289, 0.0000], [0.0000, 0.0000, 3.8631]], "species": ["Li", "Li", "Li", "Li", "P", "P", "P", "P", "Os", "Os"], "frac_coords": [[0.1775, 0.3225, 0.0000], [0.3225, 0.8225, 0.0000], [0.6775, 0.1775, 0.0000], [0.8225, 0.6775, 0.0000], [0.1316, 0.6316, 0.5000], [0.3684, 0.1316, 0.5000], [0.6316, 0.8684, 0.5000], [0.8684, 0.3684, 0.5000], [0.0000, 0.0000, 0.5000], [0.5000, 0.5000, 0.5000]]}